[1]
Below is a relaxed structure of KSc2N, with properties calculated at the PBE level.

```
data_KSc2N
_cell_length_a 3.8143
_cell_length_b 3.8143
_cell_length_c 31.6347
_cell_angle_alpha 90.00
_cell_angle_beta 90.00
_cell_angle_gamma 120.00
_symmetry_space_group_name_H-M 'R -3 m'
_symmetry_Int_Tables_number 166
_symmetry_space_group_name_Hall '-R 3 2"'
loop_
_atom_site_label
_atom_site_type_symbol
_atom_site_fract_x
_atom_site_fract_y
_atom_site_fract_z
K1 K 0.0000 0.0000 0.0000
Sc1 Sc 0.0000 0.0000 0.4421
N1 N 0.0000 0.0000 0.5000
```

## Properties
The value obtained for the volume is 33.2 A^3/atom. The value obtained for the energy relative to the elements, uncorrected is 167 meV/atom. The calculated total energy comes out at -64.25 eV/cell.

***

[2]
Below is a relaxed structure of KScN3, with properties calculated at the PBE level.

```
data_KScN3
_cell_length_a 4.0612
_cell_length_b 4.0612
_cell_length_c 4.0612
_cell_angle_alpha 90.00
_cell_angle_beta 90.00
_cell_angle_gamma 90.00
_symmetry_space_group_name_H-M 'P m -3 m'
_symmetry_Int_Tables_number 221
_symmetry_space_group_name_Hall '-P 4 2 3'
loop_
_atom_site_label
_atom_site_type_symbol
_atom_site_fract_x
_atom_site_fract_y
_atom_site_fract_z
K1 K 0.0000 0.0000 0.0000
Sc1 Sc 0.5000 0.5000 0.5000
N1 N 0.0000 0.0000 0.5000
```

## Properties
The value obtained for the volume is 13.4 A^3/atom. The value obtained for the energy relative to the elements, uncorrected is 2384 meV/atom. The calculated total energy comes out at -20.49 eV/cell.

***

[3]
Below is a relaxed structure of KScN3, with properties calculated at the PBE level.

```
data_KScN3
_cell_length_a 4.2988
_cell_length_b 4.2988
_cell_length_c 4.2988
_cell_angle_alpha 90.00
_cell_angle_beta 90.00
_cell_angle_gamma 90.00
_symmetry_space_group_name_H-M 'P m -3 m'
_symmetry_Int_Tables_number 221
_symmetry_space_group_name_Hall '-P 4 2 3'
loop_
_atom_site_label
_atom_site_type_symbol
_atom_site_fract_x
_atom_site_fract_y
_atom_site_fract_z
K1 K 0.0000 0.0000 0.0000
Sc1 Sc 0.5000 0.5000 0.5000
N1 N 0.0000 0.5000 0.5000
```

## Properties
The value obtained for the volume is 15.9 A^3/atom. The value obtained for the energy relative to the elements, uncorrected is 749 meV/atom. The calculated total energy comes out at -28.66 eV/cell.

***

[4]
Below is a relaxed structure of KSc2N, with properties calculated at the PBE level.

```
data_KSc2N
_cell_length_a 3.3024
_cell_length_b 3.3024
_cell_length_c 28.7689
_cell_angle_alpha 90.00
_cell_angle_beta 90.00
_cell_angle_gamma 120.00
_symmetry_space_group_name_H-M 'R -3 m'
_symmetry_Int_Tables_number 166
_symmetry_space_group_name_Hall '-R 3 2"'
loop_
_atom_site_label
_atom_site_type_symbol
_atom_site_fract_x
_atom_site_fract_y
_atom_site_fract_z
K1 K 0.0000 0.0000 0.0000
Sc1 Sc 0.0000 0.0000 0.1254
N1 N 0.0000 0.0000 0.5000
```

## Properties
The value obtained for the volume is 22.6 A^3/atom. The value obtained for the energy relative to the elements, uncorrected is -623 meV/atom. The calculated total energy comes out at -73.74 eV/cell.

***

[5]
Below is a relaxed structure of KScSeN2, with properties calculated at the PBE level.

```
data_KScSeN2
_cell_length_a 4.4790
_cell_length_b 4.4790
_cell_length_c 5.3129
_cell_angle_alpha 90.00
_cell_angle_beta 90.00
_cell_angle_gamma 90.00
_symmetry_space_group_name_H-M 'P 4/m m m'
_symmetry_Int_Tables_number 123
_symmetry_space_group_name_Hall '-P 4 2'
loop_
_atom_site_label
_atom_site_type_symbol
_atom_site_fract_x
_atom_site_fract_y
_atom_site_fract_z
K1 K 0.0000 0.0000 0.0000
Sc1 Sc 0.5000 0.5000 0.5000
Se1 Se 0.5000 0.5000 0.0000
N1 N 0.0000 0.5000 0.5000
```

## Properties
The value obtained for the volume is 21.3 A^3/atom. The value obtained for the energy relative to the elements, uncorrected is 167 meV/atom. The calculated total energy comes out at -26.73 eV/cell. The energy above the most stable polymorph in this dataset is 0.0 meV per atom.

***

[6]
Below is a relaxed structure of KScSeN2, with properties calculated at the PBE level.

```
data_KScSeN2
_cell_length_a 4.5663
_cell_length_b 4.5663
_cell_length_c 8.2530
_cell_angle_alpha 90.00
_cell_angle_beta 90.00
_cell_angle_gamma 90.00
_symmetry_space_group_name_H-M 'P 4/m m m'
_symmetry_Int_Tables_number 123
_symmetry_space_group_name_Hall '-P 4 2'
loop_
_atom_site_label
_atom_site_type_symbol
_atom_site_fract_x
_atom_site_fract_y
_atom_site_fract_z
K1 K 0.0000 0.0000 0.0000
Sc1 Sc 0.0000 0.0000 0.5000
Se1 Se 0.5000 0.5000 0.5000
N1 N 0.0000 0.5000 0.0000
```

## Properties
The value obtained for the volume is 34.4 A^3/atom. The value obtained for the energy relative to the elements, uncorrected is 1873 meV/atom. The calculated total energy comes out at -18.20 eV/cell. The energy above the most stable polymorph in this dataset is 1706.6 meV per atom.

***

[7]
Below is a relaxed structure of KScSeN2, with properties calculated at the PBE level.

```
data_KScSeN2
_cell_length_a 4.2824
_cell_length_b 4.2824
_cell_length_c 5.8266
_cell_angle_alpha 90.00
_cell_angle_beta 90.00
_cell_angle_gamma 90.00
_symmetry_space_group_name_H-M 'P 4/m m m'
_symmetry_Int_Tables_number 123
_symmetry_space_group_name_Hall '-P 4 2'
loop_
_atom_site_label
_atom_site_type_symbol
_atom_site_fract_x
_atom_site_fract_y
_atom_site_fract_z
K1 K 0.0000 0.0000 0.0000
Sc1 Sc 0.5000 0.5000 0.5000
Se1 Se 0.0000 0.0000 0.5000
N1 N 0.0000 0.5000 0.0000
```

## Properties
The value obtained for the volume is 21.4 A^3/atom. The value obtained for the energy relative to the elements, uncorrected is 1756 meV/atom. The calculated total energy comes out at -18.79 eV/cell. The energy above the most stable polymorph in this dataset is 1589.1 meV per atom.

***

[8]
Below is a relaxed structure of KScSnN2, with properties calculated at the PBE level.

```
data_KScSnN2
_cell_length_a 4.4882
_cell_length_b 4.4882
_cell_length_c 5.3759
_cell_angle_alpha 90.00
_cell_angle_beta 90.00
_cell_angle_gamma 90.00
_symmetry_space_group_name_H-M 'P 4/m m m'
_symmetry_Int_Tables_number 123
_symmetry_space_group_name_Hall '-P 4 2'
loop_
_atom_site_label
_atom_site_type_symbol
_atom_site_fract_x
_atom_site_fract_y
_atom_site_fract_z
K1 K 0.0000 0.0000 0.0000
Sc1 Sc 0.5000 0.5000 0.5000
Sn1 Sn 0.0000 0.0000 0.5000
N1 N 0.0000 0.5000 0.0000
```

## Properties
The value obtained for the volume is 21.7 A^3/atom. The value obtained for the energy relative to the elements, uncorrected is 2108 meV/atom. The calculated total energy comes out at -17.54 eV/cell.

***

What did the third record say?
Below is a relaxed structure of KScN3, with properties calculated at the PBE level.

```
data_KScN3
_cell_length_a 4.2988
_cell_length_b 4.2988
_cell_length_c 4.2988
_cell_angle_alpha 90.00
_cell_angle_beta 90.00
_cell_angle_gamma 90.00
_symmetry_space_group_name_H-M 'P m -3 m'
_symmetry_Int_Tables_number 221
_symmetry_space_group_name_Hall '-P 4 2 3'
loop_
_atom_site_label
_atom_site_type_symbol
_atom_site_fract_x
_atom_site_fract_y
_atom_site_fract_z
K1 K 0.0000 0.0000 0.0000
Sc1 Sc 0.5000 0.5000 0.5000
N1 N 0.0000 0.5000 0.5000
```

## Properties
The value obtained for the volume is 15.9 A^3/atom. The value obtained for the energy relative to the elements, uncorrected is 749 meV/atom. The calculated total energy comes out at -28.66 eV/cell.